1.
BaNaAs2O6 | PBE | optimized geometry

Summary:
DOS(E_F)   0.23 states/eV/atom
Energy relative to the elements, uncorrected   -1.6813 eV per atom
SG   C2/c
Total DFT energy (no corrections)   -59.103 eV per formula unit

Lattice parameters (Å, degrees): 7.455 7.455 6.095 101.13 101.13 87.89
Atoms (fractional coordinates):
O (0.470, 0.292, 0.855)
O (0.086, 0.611, 0.807)
Na (0.410, 0.590, 0.750)
O (0.530, 0.708, 0.145)
O (0.171, 0.135, 0.019)
O (0.292, 0.470, 0.355)
As (0.305, 0.127, 0.779)
O (0.708, 0.530, 0.645)
Na (0.590, 0.410, 0.250)
O (0.611, 0.086, 0.307)
Ba (0.801, 0.199, 0.750)
Ba (0.199, 0.801, 0.250)
O (0.389, 0.914, 0.693)
O (0.914, 0.389, 0.193)
As (0.695, 0.873, 0.221)
O (0.829, 0.865, 0.981)
O (0.135, 0.171, 0.519)
As (0.873, 0.695, 0.721)
O (0.865, 0.829, 0.481)
As (0.127, 0.305, 0.279)

=====

2.
BaNa2As2O7 | PBE | optimized geometry

Summary:
DOS(E_F)   0.00 states/eV/atom
Energy relative to the elements, uncorrected   -1.7628 eV per atom
SG   R32
Total DFT energy (no corrections)   -69.721 eV per formula unit

Lattice parameters (Å, degrees): 5.876 5.876 8.583 69.98 69.98 60.00
Atoms (fractional coordinates):
O (0.904, 0.627, 0.282)
O (0.814, 0.373, 0.718)
As (0.076, 0.076, 0.773)
O (0.000, 0.000, 0.000)
O (0.373, 0.096, 0.718)
O (0.627, 0.186, 0.282)
O (0.186, 0.904, 0.282)
Ba (0.500, 0.500, 0.500)
Na (0.730, 0.730, 0.809)
O (0.096, 0.814, 0.718)
Na (0.270, 0.270, 0.191)
As (0.924, 0.924, 0.227)

=====

3.
BaNa2AsO | PBE | optimized geometry

Summary:
DOS(E_F)   1.15 states/eV/atom
Energy relative to the elements, uncorrected   -1.0575 eV per atom
SG   P4/mmm
Total DFT energy (no corrections)   -19.456 eV per formula unit

Lattice parameters (Å, degrees): 4.774 4.774 5.316 90.00 90.00 90.00
Atoms (fractional coordinates):
As (0.500, 0.500, 0.500)
Na (0.500, 0.000, 0.000)
Ba (0.000, 0.000, 0.500)
O (0.000, 0.000, 0.000)
Na (0.000, 0.500, 0.000)

=====

4.
Ba3NaAs2O | PBE | optimized geometry

Summary:
DOS(E_F)   1.14 states/eV/atom
Energy relative to the elements, uncorrected   -1.2814 eV per atom
SG   Immm
Total DFT energy (no corrections)   -30.314 eV per formula unit

Lattice parameters (Å, degrees): 4.725 5.264 9.308 106.43 104.70 90.00
Atoms (fractional coordinates):
Ba (0.000, 0.500, 0.000)
O (0.000, 0.000, 0.000)
Na (0.500, 0.000, 0.000)
As (0.360, 0.360, 0.721)
Ba (0.837, 0.837, 0.675)
As (0.640, 0.640, 0.279)
Ba (0.163, 0.163, 0.325)

=====

5.
BaNaAsP2 | PBE | optimized geometry

Summary:
DOS(E_F)   0.62 states/eV/atom
SG   P4/mmm
Total DFT energy (no corrections)   -17.280 eV per formula unit

Lattice parameters (Å, degrees): 5.086 5.111 5.086 90.00 90.00 90.00
Atoms (fractional coordinates):
P (0.000, 0.000, 0.500)
Ba (0.500, 0.500, 0.500)
Na (0.000, 0.000, 0.000)
P (0.500, 0.000, 0.000)
As (0.000, 0.500, 0.000)

=====

6.
BaNaAs2Pb | PBE | optimized geometry

Summary:
DOS(E_F)   0.57 states/eV/atom
SG   C2/m
Total DFT energy (no corrections)   -18.806 eV per formula unit

Lattice parameters (Å, degrees): 4.884 8.296 9.122 80.41 74.47 72.88
Atoms (fractional coordinates):
Na (0.356, 0.369, 0.918)
Ba (0.795, 0.773, 0.637)
Na (0.644, 0.631, 0.082)
Pb (0.044, 0.106, 0.806)
As (0.415, 0.805, 0.366)
As (0.175, 0.747, 0.902)
As (0.585, 0.195, 0.634)
Ba (0.205, 0.227, 0.363)
Pb (0.956, 0.894, 0.194)
As (0.825, 0.253, 0.098)

=====

7.
BaNaAsPb2 | PBE | optimized geometry

Summary:
DOS(E_F)   0.65 states/eV/atom
SG   P4/mmm
Total DFT energy (no corrections)   -15.665 eV per formula unit

Lattice parameters (Å, degrees): 5.731 6.163 5.731 90.00 90.00 90.00
Atoms (fractional coordinates):
Pb (0.500, 0.000, 0.000)
As (0.000, 0.000, 0.000)
Pb (0.000, 0.000, 0.500)
Ba (0.000, 0.500, 0.000)
Na (0.500, 0.500, 0.500)

=====

8.
BaNa2As2Pb | PBE | optimized geometry

Summary:
DOS(E_F)   0.02 states/eV/atom
SG   Pmc2_1
Total DFT energy (no corrections)   -20.895 eV per formula unit

Lattice parameters (Å, degrees): 4.587 7.775 9.912 90.00 90.00 90.00
Atoms (fractional coordinates):
Ba (0.000, 0.980, 0.421)
Pb (0.500, 0.145, 0.710)
Na (0.500, 0.042, 0.071)
As (0.500, 0.280, 0.346)
Pb (0.500, 0.645, 0.290)
Na (0.500, 0.542, 0.929)
As (0.000, 0.242, 0.877)
As (0.000, 0.742, 0.123)
Na (0.000, 0.357, 0.163)
Na (0.000, 0.857, 0.837)
Ba (0.000, 0.480, 0.579)
As (0.500, 0.780, 0.654)